Record 1
Computed, not measured: a geometry-optimized Te2WCl structure at the GGA-PBE level of DFT.

Lattice parameters (Å, degrees): 7.4039 7.4039 7.4039 154.04 140.06 48.26
Fractional coordinates of all 4 atoms:
Te 0.0000 0.0000 0.0000
Te 0.6307 0.1307 0.5000
W 0.1576 0.6576 0.5000
Cl 0.3018 0.3018 0.0000

Its theoretical density is 6.93 Mg/m³. Its total moment is 0.00 Bohr magnetons per cell. Its density of states at the Fermi level is 3.14 states/eV per cell. The excess energy over the best structure of this formula in the dataset is 281 meV per atom. The value obtained for the uncorrected formation energy is 0.260 eV/atom.

---

Record 2
Computed, not measured: a geometry-optimized Te2WCl structure at the GGA-PBE level of DFT.

Lattice parameters (Å, degrees): 9.4376 9.4376 9.4376 22.32 22.32 22.32
Fractional coordinates of all 4 atoms:
Te 0.1020 0.1020 0.1020
Te 0.8980 0.8980 0.8980
W 0.5000 0.5000 0.5000
Cl 0.0000 0.0000 0.0000

Its theoretical density is 7.41 Mg/m³. Its total moment is 0.00 Bohr magnetons per cell. Its density of states at the Fermi level is 3.36 states/eV per cell. The excess energy over the best structure of this formula in the dataset is 124 meV per atom. The value obtained for the uncorrected formation energy is 0.104 eV/atom.

---

Record 3
Computed, not measured: a geometry-optimized Te2WCl structure at the GGA-PBE level of DFT.

Lattice parameters (Å, degrees): 3.3417 3.3236 8.3109 90.00 98.13 90.00
Fractional coordinates of all 4 atoms:
Te 0.0742 0.0000 0.2034
Te 0.9258 0.0000 0.7966
W 0.5000 0.5000 0.0000
Cl 0.5000 0.5000 0.5000

Its theoretical density is 8.62 Mg/m³. Its total moment is 0.00 Bohr magnetons per cell. Its density of states at the Fermi level is 2.84 states/eV per cell. The excess energy over the best structure of this formula in the dataset is 137 meV per atom. The value obtained for the uncorrected formation energy is 0.117 eV/atom.

---

Record 4
Computed, not measured: a geometry-optimized Te2WCl structure at the GGA-PBE level of DFT.

Lattice parameters (Å, degrees): 7.3348 7.3348 7.3348 154.88 139.89 47.91
Fractional coordinates of all 4 atoms:
Te 0.1647 0.1647 0.0000
Te 0.8353 0.8353 0.0000
W 0.0000 0.5000 0.5000
Cl 0.5000 0.0000 0.5000

Its theoretical density is 7.33 Mg/m³. Its total moment is 0.68 Bohr magnetons per cell. Its density of states at the Fermi level is 2.78 states/eV per cell. The excess energy over the best structure of this formula in the dataset is 406 meV per atom. The value obtained for the uncorrected formation energy is 0.385 eV/atom.

---

Record 5
Computed, not measured: a geometry-optimized Te4WCl6 structure at the GGA-PBE level of DFT.

Lattice parameters (Å, degrees): 12.6518 12.6518 12.3741 102.45 102.45 122.85
Fractional coordinates of all 44 atoms:
Te 0.0600 0.8658 0.8533
Te 0.1303 0.4376 0.5030
Te 0.1342 0.9400 0.6467
Te 0.1511 0.7195 0.5780
Te 0.1602 0.4095 0.2802
Te 0.2805 0.8489 0.9220
Te 0.4095 0.1602 0.7802
Te 0.4376 0.1303 0.0030
Te 0.5624 0.8697 0.9970
Te 0.5905 0.8398 0.2198
Te 0.7195 0.1511 0.0780
Te 0.8398 0.5905 0.7198
Te 0.8489 0.2805 0.4220
Te 0.8658 0.0600 0.3533
Te 0.8697 0.5624 0.4970
Te 0.9400 0.1342 0.1467
W 0.1751 0.4001 0.8951
W 0.4001 0.1751 0.3951
W 0.5999 0.8249 0.6049
W 0.8249 0.5999 0.1049
Cl 0.0378 0.6989 0.0986
Cl 0.0857 0.2165 0.7164
Cl 0.1293 0.5109 0.7803
Cl 0.2165 0.0857 0.2164
Cl 0.2206 0.2954 0.0110
Cl 0.2697 0.5927 0.0754
Cl 0.2954 0.2206 0.5110
Cl 0.3011 0.9622 0.4014
Cl 0.3927 0.5149 0.8918
Cl 0.4073 0.7303 0.4246
Cl 0.4851 0.6073 0.6082
Cl 0.4891 0.8707 0.7197
Cl 0.5109 0.1293 0.2803
Cl 0.5149 0.3927 0.3918
Cl 0.5927 0.2697 0.5754
Cl 0.6073 0.4851 0.1082
Cl 0.6989 0.0378 0.5986
Cl 0.7046 0.7794 0.4890
Cl 0.7303 0.4073 0.9246
Cl 0.7794 0.7046 0.9890
Cl 0.7835 0.9143 0.7836
Cl 0.8707 0.4891 0.2197
Cl 0.9143 0.7835 0.2836
Cl 0.9622 0.3011 0.9014

Its theoretical density is 4.06 Mg/m³. Its total moment is 4.12 Bohr magnetons per cell. Its density of states at the Fermi level is 25.88 states/eV per cell. The value obtained for the uncorrected formation energy is -0.524 eV/atom.

---

Record 6
Computed, not measured: a geometry-optimized Y2TeCl structure at the GGA-PBE level of DFT.

Lattice parameters (Å, degrees): 4.0096 4.0096 6.5897 90.00 90.00 90.00
Fractional coordinates of all 4 atoms:
Y 0.0000 0.0000 0.0000
Y 0.5000 0.5000 0.3284
Te 0.5000 0.5000 0.8275
Cl 0.0000 0.0000 0.4299

Its theoretical density is 5.34 Mg/m³. Its total moment is 0.00 Bohr magnetons per cell. Its density of states at the Fermi level is 1.77 states/eV per cell. The excess energy over the best structure of this formula in the dataset is 0 meV per atom. The value obtained for the uncorrected formation energy is -1.280 eV/atom.

---

Record 7
Computed, not measured: a geometry-optimized YTe2Cl structure at the GGA-PBE level of DFT.

Lattice parameters (Å, degrees): 8.9206 8.9206 8.9206 29.71 29.71 29.71
Fractional coordinates of all 4 atoms:
Y 0.0000 0.0000 0.0000
Te 0.3959 0.3959 0.3959
Te 0.6041 0.6041 0.6041
Cl 0.5000 0.5000 0.5000

Its theoretical density is 4.08 Mg/m³. Its total moment is 0.00 Bohr magnetons per cell. Its density of states at the Fermi level is 0.06 states/eV per cell. The excess energy over the best structure of this formula in the dataset is 298 meV per atom. The value obtained for the uncorrected formation energy is -0.887 eV/atom.

---

Record 8
Computed, not measured: a geometry-optimized YTeCl4 structure at the GGA-PBE level of DFT.

Lattice parameters (Å, degrees): 5.8444 5.8444 5.8444 60.00 60.00 60.00
Fractional coordinates of all 6 atoms:
Y 0.0000 0.0000 0.0000
Te 0.2500 0.2500 0.2500
Cl 0.1226 0.6258 0.6258
Cl 0.6258 0.1226 0.6258
Cl 0.6258 0.6258 0.1226
Cl 0.6258 0.6258 0.6258

Its theoretical density is 4.22 Mg/m³. Its total moment is 1.42 Bohr magnetons per cell. Its density of states at the Fermi level is 9.35 states/eV per cell. The value obtained for the uncorrected formation energy is -0.220 eV/atom.

---

Record 9
Computed, not measured: a geometry-optimized YTe2Cl structure at the GGA-PBE level of DFT.

Lattice parameters (Å, degrees): 5.9958 5.9958 5.9958 135.82 134.87 64.99
Fractional coordinates of all 4 atoms:
Y 0.0000 0.0000 0.0000
Te 0.2488 0.7488 0.5000
Te 0.7512 0.2512 0.5000
Cl 0.5000 0.5000 0.0000

Its theoretical density is 6.01 Mg/m³. Its total moment is 0.00 Bohr magnetons per cell. Its density of states at the Fermi level is 1.45 states/eV per cell. The excess energy over the best structure of this formula in the dataset is 263 meV per atom. The value obtained for the uncorrected formation energy is -0.922 eV/atom.

---

Record 10
Computed, not measured: a geometry-optimized Y2TeCl structure at the GGA-PBE level of DFT.

Lattice parameters (Å, degrees): 5.4128 5.4128 5.4128 60.00 60.00 60.00
Fractional coordinates of all 4 atoms:
Y 0.0000 0.0000 0.0000
Y 0.2500 0.2500 0.2500
Te 0.7500 0.7500 0.7500
Cl 0.5000 0.5000 0.5000

Its theoretical density is 5.05 Mg/m³. Its total moment is 2.99 Bohr magnetons per cell. Its density of states at the Fermi level is 4.08 states/eV per cell. The excess energy over the best structure of this formula in the dataset is 880 meV per atom. The value obtained for the uncorrected formation energy is -0.401 eV/atom.

---

Record 11
Computed, not measured: a geometry-optimized Y2TeCl structure at the GGA-PBE level of DFT.

Lattice parameters (Å, degrees): 4.2461 4.2461 7.0720 107.28 107.28 59.67
Fractional coordinates of all 4 atoms:
Y 0.2360 0.2360 0.2071
Y 0.7640 0.7640 0.7929
Te 0.0000 0.0000 0.5000
Cl 0.5000 0.5000 0.0000

Its theoretical density is 5.47 Mg/m³. Its total moment is 0.00 Bohr magnetons per cell. Its density of states at the Fermi level is 3.12 states/eV per cell. The excess energy over the best structure of this formula in the dataset is 92 meV per atom. The value obtained for the uncorrected formation energy is -1.188 eV/atom.

---

Record 12
Computed, not measured: a geometry-optimized YTe2Cl structure at the GGA-PBE level of DFT.

Lattice parameters (Å, degrees): 5.3578 5.3578 5.3578 60.00 60.00 60.00
Fractional coordinates of all 4 atoms:
Y 0.0000 0.0000 0.0000
Te 0.2500 0.2500 0.2500
Te 0.7500 0.7500 0.7500
Cl 0.5000 0.5000 0.5000

Its theoretical density is 5.80 Mg/m³. Its total moment is 0.00 Bohr magnetons per cell. Its density of states at the Fermi level is 2.97 states/eV per cell. The excess energy over the best structure of this formula in the dataset is 536 meV per atom. The value obtained for the uncorrected formation energy is -0.650 eV/atom.

---

Record 13
Computed, not measured: a geometry-optimized YTe2Cl structure at the GGA-PBE level of DFT.

Lattice parameters (Å, degrees): 11.0409 11.0409 11.0409 20.15 20.15 20.15
Fractional coordinates of all 4 atoms:
Y 0.0000 0.0000 0.0000
Te 0.4972 0.4972 0.4972
Te 0.7270 0.7270 0.7270
Cl 0.2831 0.2831 0.2831

Its theoretical density is 4.51 Mg/m³. Its total moment is 0.25 Bohr magnetons per cell. Its density of states at the Fermi level is 3.74 states/eV per cell. The excess energy over the best structure of this formula in the dataset is 299 meV per atom. The value obtained for the uncorrected formation energy is -0.887 eV/atom.